(1)
# Sb2Ru2Cl (SCAN, PBEsol geometry)
# Crystal system: tetragonal
# Density (g/cm³): 7.80
# DFT total energy (eV per atom): -30.180
# Density of states at the Fermi level (states/eV/atom): 0.67
data_Sb2Ru2Cl
_cell_length_a 4.4365
_cell_length_b 4.4365
_cell_length_c 10.4051
_cell_angle_alpha 90.00
_cell_angle_beta 90.00
_cell_angle_gamma 90.00
_symmetry_space_group_name_H-M 'I 4/m m m'
_symmetry_Int_Tables_number 139
_symmetry_space_group_name_Hall '-I 4 2'
loop_
_atom_site_label
_atom_site_type_symbol
_atom_site_fract_x
_atom_site_fract_y
_atom_site_fract_z
Sb1 Sb 0.0000 0.5000 0.2500
Ru1 Ru 0.0000 0.0000 0.1152
Cl1 Cl 0.0000 0.0000 0.5000

(2)
# SbRu2Cl (SCAN, PBEsol geometry)
# Crystal system: orthorhombic
# Density (g/cm³): 8.91
# DFT total energy (eV per atom): -28.129
# Density of states at the Fermi level (states/eV/atom): 0.97
data_SbRu2Cl
_cell_length_a 3.0828
_cell_length_b 5.3488
_cell_length_c 8.1225
_cell_angle_alpha 90.00
_cell_angle_beta 90.00
_cell_angle_gamma 90.00
_symmetry_space_group_name_H-M 'C m m m'
_symmetry_Int_Tables_number 65
_symmetry_space_group_name_Hall '-C 2 2'
loop_
_atom_site_label
_atom_site_type_symbol
_atom_site_fract_x
_atom_site_fract_y
_atom_site_fract_z
Sb1 Sb 0.0000 0.0000 0.0000
Ru1 Ru 0.0000 0.5000 0.2480
Cl1 Cl 0.0000 0.0000 0.5000

(3)
# ScRuCl2 (SCAN, PBEsol geometry)
# Crystal system: orthorhombic
# Density (g/cm³): 5.51
# DFT total energy (eV per atom): -16.688
# Density of states at the Fermi level (states/eV/atom): 0.76
data_ScRuCl2
_cell_length_a 3.0498
_cell_length_b 4.0402
_cell_length_c 5.3035
_cell_angle_alpha 90.00
_cell_angle_beta 90.00
_cell_angle_gamma 90.00
_symmetry_space_group_name_H-M 'P m m m'
_symmetry_Int_Tables_number 47
loop_
_symmetry_equiv_pos_as_xyz
'x,y,z'
'-x,-y,-z'
'-x,-y,z'
'x,y,-z'
'x,-y,-z'
'-x,y,z'
'-x,y,-z'
'x,-y,z'
loop_
_atom_site_label
_atom_site_type_symbol
_atom_site_fract_x
_atom_site_fract_y
_atom_site_fract_z
Sc1 Sc 0.0000 0.0000 0.0000
Ru1 Ru 0.5000 0.0000 0.5000
Cl1 Cl 0.0000 0.5000 0.5000
Cl2 Cl 0.5000 0.5000 0.0000

(4)
# ScRuCl2 (SCAN, PBEsol geometry)
# Crystal system: trigonal
# Density (g/cm³): 4.82
# DFT total energy (eV per atom): -16.681
# Density of states at the Fermi level (states/eV/atom): 0.57
data_ScRuCl2
_cell_length_a 3.1033
_cell_length_b 3.1033
_cell_length_c 26.8724
_cell_angle_alpha 90.00
_cell_angle_beta 90.00
_cell_angle_gamma 120.00
_symmetry_space_group_name_H-M 'R -3 m'
_symmetry_Int_Tables_number 166
_symmetry_space_group_name_Hall '-R 3 2"'
loop_
_atom_site_label
_atom_site_type_symbol
_atom_site_fract_x
_atom_site_fract_y
_atom_site_fract_z
Sc1 Sc 0.0000 0.0000 0.0000
Ru1 Ru 0.0000 0.0000 0.5000
Cl1 Cl 0.0000 0.0000 0.2687

(5)
# ScRu2Cl (SCAN, PBEsol geometry)
# Crystal system: trigonal
# Density (g/cm³): 7.64
# DFT total energy (eV per atom): -22.728
# Density of states at the Fermi level (states/eV/atom): 0.89
data_ScRu2Cl
_cell_length_a 2.9432
_cell_length_b 2.9432
_cell_length_c 24.5528
_cell_angle_alpha 90.00
_cell_angle_beta 90.00
_cell_angle_gamma 120.00
_symmetry_space_group_name_H-M 'R -3 m'
_symmetry_Int_Tables_number 166
_symmetry_space_group_name_Hall '-R 3 2"'
loop_
_atom_site_label
_atom_site_type_symbol
_atom_site_fract_x
_atom_site_fract_y
_atom_site_fract_z
Sc1 Sc 0.0000 0.0000 0.0000
Ru1 Ru 0.0000 0.0000 0.2464
Cl1 Cl 0.0000 0.0000 0.5000

(6)
# ScRuCl3 (SCAN, PBEsol geometry)
# Crystal system: cubic
# Density (g/cm³): 3.62
# DFT total energy (eV per atom): -15.221
# Density of states at the Fermi level (states/eV/atom): 0.52
data_ScRuCl3
_cell_length_a 4.8735
_cell_length_b 4.8735
_cell_length_c 4.8735
_cell_angle_alpha 90.00
_cell_angle_beta 90.00
_cell_angle_gamma 90.00
_symmetry_space_group_name_H-M 'P m -3 m'
_symmetry_Int_Tables_number 221
_symmetry_space_group_name_Hall '-P 4 2 3'
loop_
_atom_site_label
_atom_site_type_symbol
_atom_site_fract_x
_atom_site_fract_y
_atom_site_fract_z
Sc1 Sc 0.0000 0.0000 0.0000
Ru1 Ru 0.5000 0.5000 0.5000
Cl1 Cl 0.0000 0.0000 0.5000

(7)
# ScRuCl2 (SCAN, PBEsol geometry)
# Crystal system: monoclinic
# Density (g/cm³): 4.37
# DFT total energy (eV per atom): -17.140
data_ScRuCl2
_cell_length_a 3.8113
_cell_length_b 3.3391
_cell_length_c 6.5049
_cell_angle_alpha 90.00
_cell_angle_beta 95.58
_cell_angle_gamma 90.00
_symmetry_space_group_name_H-M 'P 1 m 1'
_symmetry_Int_Tables_number 6
loop_
_symmetry_equiv_pos_as_xyz
'x,y,z'
'x,-y,z'
loop_
_atom_site_label
_atom_site_type_symbol
_atom_site_fract_x
_atom_site_fract_y
_atom_site_fract_z
Sc1 Sc 0.0000 0.0000 0.0000
Ru1 Ru 0.4559 0.5000 0.8695
Cl1 Cl 0.2345 0.0000 0.6181
Cl2 Cl 0.6912 0.5000 0.2232

(8)
# ScRuCl2 (SCAN, PBEsol geometry)
# Crystal system: tetragonal
# Density (g/cm³): 4.47
# DFT total energy (eV per atom): -16.620
# Density of states at the Fermi level (states/eV/atom): 0.62
data_ScRuCl2
_cell_length_a 2.9770
_cell_length_b 2.9770
_cell_length_c 9.0985
_cell_angle_alpha 90.00
_cell_angle_beta 90.00
_cell_angle_gamma 90.00
_symmetry_space_group_name_H-M 'P 4/m m m'
_symmetry_Int_Tables_number 123
_symmetry_space_group_name_Hall '-P 4 2'
loop_
_atom_site_label
_atom_site_type_symbol
_atom_site_fract_x
_atom_site_fract_y
_atom_site_fract_z
Sc1 Sc 0.0000 0.0000 0.0000
Ru1 Ru 0.0000 0.0000 0.5000
Cl1 Cl 0.5000 0.5000 0.1691

(9)
# RuSe2Cl (SCAN, PBEsol geometry)
# Crystal system: trigonal
# Density (g/cm³): 6.12
# DFT total energy (eV per atom): -20.672
# Density of states at the Fermi level (states/eV/atom): 0.87
data_RuSe2Cl
_cell_length_a 3.1199
_cell_length_b 3.1199
_cell_length_c 28.4354
_cell_angle_alpha 90.00
_cell_angle_beta 90.00
_cell_angle_gamma 120.00
_symmetry_space_group_name_H-M 'R 3 m'
_symmetry_Int_Tables_number 160
_symmetry_space_group_name_Hall 'R 3 -2"'
loop_
_atom_site_label
_atom_site_type_symbol
_atom_site_fract_x
_atom_site_fract_y
_atom_site_fract_z
Ru1 Ru 0.0000 0.0000 0.0000
Se1 Se 0.0000 0.0000 0.4879
Se2 Se 0.0000 0.0000 0.7224
Cl1 Cl 0.0000 0.0000 0.2711

(10)
# RuSeCl3 (SCAN, PBEsol geometry)
# Crystal system: cubic
# Density (g/cm³): 4.66
# DFT total energy (eV per atom): -15.596
# Density of states at the Fermi level (states/eV/atom): 1.04
data_RuSeCl3
_cell_length_a 4.6746
_cell_length_b 4.6746
_cell_length_c 4.6746
_cell_angle_alpha 90.00
_cell_angle_beta 90.00
_cell_angle_gamma 90.00
_symmetry_space_group_name_H-M 'P m -3 m'
_symmetry_Int_Tables_number 221
_symmetry_space_group_name_Hall '-P 4 2 3'
loop_
_atom_site_label
_atom_site_type_symbol
_atom_site_fract_x
_atom_site_fract_y
_atom_site_fract_z
Ru1 Ru 0.0000 0.0000 0.0000
Se1 Se 0.5000 0.5000 0.5000
Cl1 Cl 0.0000 0.0000 0.5000

(11)
# RuSeCl2 (SCAN, PBEsol geometry)
# Crystal system: tetragonal
# Density (g/cm³): 5.42
# DFT total energy (eV per atom): -17.572
data_RuSeCl2
_cell_length_a 3.3338
_cell_length_b 3.3338
_cell_length_c 6.9110
_cell_angle_alpha 90.00
_cell_angle_beta 90.00
_cell_angle_gamma 90.00
_symmetry_space_group_name_H-M 'P 4 m m'
_symmetry_Int_Tables_number 99
loop_
_symmetry_equiv_pos_as_xyz
'x,y,z'
'-y,x,z'
'-x,-y,z'
'y,-x,z'
'-x,y,z'
'y,x,z'
'x,-y,z'
'-y,-x,z'
loop_
_atom_site_label
_atom_site_type_symbol
_atom_site_fract_x
_atom_site_fract_y
_atom_site_fract_z
Ru1 Ru 0.0000 0.0000 0.0000
Se1 Se 0.5000 0.5000 0.1346
Cl1 Cl 0.0000 0.0000 0.3569
Cl2 Cl 0.5000 0.5000 0.7464

(12)
# Ru2SeCl (SCAN, PBEsol geometry)
# Crystal system: cubic
# Density (g/cm³): 9.24
# DFT total energy (eV per atom): -23.782
# Density of states at the Fermi level (states/eV/atom): 1.11
data_Ru2SeCl
_cell_length_a 6.1048
_cell_length_b 6.1048
_cell_length_c 6.1048
_cell_angle_alpha 90.00
_cell_angle_beta 90.00
_cell_angle_gamma 90.00
_symmetry_space_group_name_H-M 'F m -3 m'
_symmetry_Int_Tables_number 225
_symmetry_space_group_name_Hall '-F 4 2 3'
loop_
_atom_site_label
_atom_site_type_symbol
_atom_site_fract_x
_atom_site_fract_y
_atom_site_fract_z
Ru1 Ru 0.2500 0.2500 0.2500
Se1 Se 0.0000 0.0000 0.0000
Cl1 Cl 0.0000 0.0000 0.5000

(13)
# RuSe2Cl (SCAN, PBEsol geometry)
# Crystal system: tetragonal
# Density (g/cm³): 5.03
# DFT total energy (eV per atom): -20.739
# Density of states at the Fermi level (states/eV/atom): 0.57
data_RuSe2Cl
_cell_length_a 6.5092
_cell_length_b 6.5092
_cell_length_c 9.1853
_cell_angle_alpha 90.00
_cell_angle_beta 90.00
_cell_angle_gamma 90.00
_symmetry_space_group_name_H-M 'I -4 2 d'
_symmetry_Int_Tables_number 122
_symmetry_space_group_name_Hall 'I -4 2bw'
loop_
_atom_site_label
_atom_site_type_symbol
_atom_site_fract_x
_atom_site_fract_y
_atom_site_fract_z
Ru1 Ru 0.0000 0.0000 0.0000
Se1 Se 0.1772 0.7500 0.1250
Cl1 Cl 0.0000 0.0000 0.5000

(14)
# Ru2SeCl (SCAN, PBEsol geometry)
# Crystal system: orthorhombic
# Density (g/cm³): 8.36
# DFT total energy (eV per atom): -24.107
# Density of states at the Fermi level (states/eV/atom): 0.83
data_Ru2SeCl
_cell_length_a 2.9670
_cell_length_b 3.7332
_cell_length_c 5.6779
_cell_angle_alpha 90.00
_cell_angle_beta 90.00
_cell_angle_gamma 90.00
_symmetry_space_group_name_H-M 'P m m 2'
_symmetry_Int_Tables_number 25
loop_
_symmetry_equiv_pos_as_xyz
'x,y,z'
'-x,-y,z'
'-x,y,z'
'x,-y,z'
loop_
_atom_site_label
_atom_site_type_symbol
_atom_site_fract_x
_atom_site_fract_y
_atom_site_fract_z
Ru1 Ru 0.0000 0.0000 0.0000
Ru2 Ru 0.5000 0.5000 0.2447
Se1 Se 0.0000 0.0000 0.4224
Cl1 Cl 0.5000 0.5000 0.8405

(15)
# RuSeCl4 (SCAN, PBEsol geometry)
# Crystal system: cubic
# Density (g/cm³): 4.57
# DFT total energy (eV per atom): -13.234
# Density of states at the Fermi level (states/eV/atom): 0.94
data_RuSeCl4
_cell_length_a 7.7654
_cell_length_b 7.7654
_cell_length_c 7.7654
_cell_angle_alpha 90.00
_cell_angle_beta 90.00
_cell_angle_gamma 90.00
_symmetry_space_group_name_H-M 'F -4 3 m'
_symmetry_Int_Tables_number 216
_symmetry_space_group_name_Hall 'F -4 2 3'
loop_
_atom_site_label
_atom_site_type_symbol
_atom_site_fract_x
_atom_site_fract_y
_atom_site_fract_z
Ru1 Ru 0.0000 0.0000 0.0000
Se1 Se 0.2500 0.2500 0.2500
Cl1 Cl 0.1256 0.1256 0.6256

(16)
# RuSeCl2 (SCAN, PBEsol geometry)
# Crystal system: orthorhombic
# Density (g/cm³): 5.01
# DFT total energy (eV per atom): -17.715
# Density of states at the Fermi level (states/eV/atom): 0.65
data_RuSeCl2
_cell_length_a 2.9388
_cell_length_b 4.5570
_cell_length_c 12.4251
_cell_angle_alpha 90.00
_cell_angle_beta 90.00
_cell_angle_gamma 90.00
_symmetry_space_group_name_H-M 'I m m m'
_symmetry_Int_Tables_number 71
_symmetry_space_group_name_Hall '-I 2 2'
loop_
_atom_site_label
_atom_site_type_symbol
_atom_site_fract_x
_atom_site_fract_y
_atom_site_fract_z
Ru1 Ru 0.0000 0.0000 0.0000
Se1 Se 0.0000 0.0000 0.5000
Cl1 Cl 0.0000 0.5000 0.3484

(17)
# Ru2SeCl (SCAN, PBEsol geometry)
# Crystal system: tetragonal
# Density (g/cm³): 8.88
# DFT total energy (eV per atom): -23.583
# Density of states at the Fermi level (states/eV/atom): 1.29
data_Ru2SeCl
_cell_length_a 3.5499
_cell_length_b 3.5499
_cell_length_c 9.3988
_cell_angle_alpha 90.00
_cell_angle_beta 90.00
_cell_angle_gamma 90.00
_symmetry_space_group_name_H-M 'I -4 m 2'
_symmetry_Int_Tables_number 119
_symmetry_space_group_name_Hall 'I -4 -2'
loop_
_atom_site_label
_atom_site_type_symbol
_atom_site_fract_x
_atom_site_fract_y
_atom_site_fract_z
Ru1 Ru 0.0000 0.0000 0.0000
Ru2 Ru 0.0000 0.5000 0.2500
Se1 Se 0.0000 0.0000 0.5000
Cl1 Cl 0.0000 0.5000 0.7500

(18)
# RuSeCl (SCAN, PBEsol geometry)
# Crystal system: trigonal
# Density (g/cm³): 6.05
# DFT total energy (eV per atom): -21.350
# Density of states at the Fermi level (states/eV/atom): 0.98
data_RuSeCl
_cell_length_a 3.5759
_cell_length_b 3.5759
_cell_length_c 5.3394
_cell_angle_alpha 90.00
_cell_angle_beta 90.00
_cell_angle_gamma 120.00
_symmetry_space_group_name_H-M 'P 3 m 1'
_symmetry_Int_Tables_number 156
loop_
_symmetry_equiv_pos_as_xyz
'x,y,z'
'-y,x-y,z'
'-x+y,-x,z'
'-y,-x,z'
'-x+y,y,z'
'x,x-y,z'
loop_
_atom_site_label
_atom_site_type_symbol
_atom_site_fract_x
_atom_site_fract_y
_atom_site_fract_z
Ru1 Ru 0.0000 0.0000 0.0000
Se1 Se 0.3333 0.6667 0.7853
Cl1 Cl 0.6667 0.3333 0.2757

(19)
# Ru2SeCl (SCAN, PBEsol geometry)
# Crystal system: orthorhombic
# Density (g/cm³): 8.39
# DFT total energy (eV per atom): -23.779
# Density of states at the Fermi level (states/eV/atom): 0.92
data_Ru2SeCl
_cell_length_a 2.9344
_cell_length_b 5.3976
_cell_length_c 7.9067
_cell_angle_alpha 90.00
_cell_angle_beta 90.00
_cell_angle_gamma 90.00
_symmetry_space_group_name_H-M 'C m m m'
_symmetry_Int_Tables_number 65
_symmetry_space_group_name_Hall '-C 2 2'
loop_
_atom_site_label
_atom_site_type_symbol
_atom_site_fract_x
_atom_site_fract_y
_atom_site_fract_z
Ru1 Ru 0.0000 0.0000 0.2368
Se1 Se 0.0000 0.5000 0.0000
Cl1 Cl 0.0000 0.5000 0.5000

(20)
# RuSeCl2 (SCAN, PBEsol geometry)
# Crystal system: tetragonal
# Density (g/cm³): 5.89
# DFT total energy (eV per atom): -16.828
# Density of states at the Fermi level (states/eV/atom): 0.68
data_RuSeCl2
_cell_length_a 4.8419
_cell_length_b 4.8419
_cell_length_c 3.0177
_cell_angle_alpha 90.00
_cell_angle_beta 90.00
_cell_angle_gamma 90.00
_symmetry_space_group_name_H-M 'P 4/m m m'
_symmetry_Int_Tables_number 123
_symmetry_space_group_name_Hall '-P 4 2'
loop_
_atom_site_label
_atom_site_type_symbol
_atom_site_fract_x
_atom_site_fract_y
_atom_site_fract_z
Ru1 Ru 0.0000 0.0000 0.0000
Se1 Se 0.5000 0.5000 0.0000
Cl1 Cl 0.0000 0.5000 0.5000